(1)
An optimized crystal structure of MnFeCo2O6. Source: Alexandria via LeMat-Bulk, functional PBE with a Hubbard U.

Results
E_tot ... -6.33 eV/atom
Total moment ... 5.00 μB/cell

```
data_MnFeCo2O6
_cell_length_a 4.898
_cell_length_b 4.903
_cell_length_c 5.226
_cell_angle_alpha 62.41
_cell_angle_beta 89.84
_cell_angle_gamma 61.09
_symmetry_space_group_name_H-M 'P 1'
_symmetry_Int_Tables_number 1
_symmetry_space_group_name_Hall 'P 1'
loop_
_atom_site_label
_atom_site_fract_x
_atom_site_fract_y
_atom_site_fract_z
_atom_site_occupancy
Mn1 0.000 0.000 0.000 1
Fe1 0.493 0.009 0.486 1
Co1 0.300 0.403 0.899 1
Co2 0.801 0.396 0.407 1
O1 0.090 0.214 0.197 1
O2 0.194 0.218 0.689 1
O3 0.419 0.485 0.203 1
O4 0.576 0.526 0.680 1
O5 0.690 0.899 0.191 1
O6 0.905 0.896 0.696 1
```

***

(2)
An optimized crystal structure of FeN2ClF. Source: Alexandria via LeMat-Bulk, functional PBE with a Hubbard U.

Results
Energy relative to the lowest polymorph listed for this composition ... 0 meV/atom
Total moment ... 1.71 μB/cell

```
data_FeN2ClF
_cell_length_a 3.787
_cell_length_b 3.787
_cell_length_c 3.845
_cell_angle_alpha 90.00
_cell_angle_beta 90.00
_cell_angle_gamma 90.00
_symmetry_space_group_name_H-M 'P 4/m m m'
_symmetry_Int_Tables_number 123
_symmetry_space_group_name_Hall '-P 4 2'
loop_
_atom_site_label
_atom_site_fract_x
_atom_site_fract_y
_atom_site_fract_z
_atom_site_occupancy
Fe1 0.000 0.000 0.000 1
N1 0.000 0.500 0.000 1
Cl1 0.500 0.500 0.500 1
F1 0.000 0.000 0.500 1
```

***

no.,theoretical density (Mg/m³)
1,5.78
2,4.16